No. 1
## Ba2DyGe3Pt4 (GGA-PBE)

Data for a relaxed structure of Ba2DyGe3Pt4.

Output
Energy of formation from the pure elements ... -825 meV/atom

```
data_Ba2DyGe3Pt4
_cell_length_a 4.5322
_cell_length_b 4.5322
_cell_length_c 11.0209
_cell_angle_alpha 90.00
_cell_angle_beta 90.00
_cell_angle_gamma 90.00
_symmetry_space_group_name_H-M 'P -4 m 2'
_symmetry_Int_Tables_number 115
loop_
_symmetry_equiv_pos_as_xyz
'x,y,z'
'y,-x,-z'
'-x,-y,z'
'-y,x,-z'
'-x,y,z'
'-y,-x,-z'
'x,-y,z'
'y,x,-z'
loop_
_atom_site_label
_atom_site_fract_x
_atom_site_fract_y
_atom_site_fract_z
Ba1 0.0000 0.5000 0.2351
Dy1 0.0000 0.0000 0.5000
Ge1 0.0000 0.5000 0.8858
Ge2 0.5000 0.5000 0.5000
Pt1 0.0000 0.0000 0.0000
Pt2 0.0000 0.5000 0.6496
Pt3 0.5000 0.5000 0.0000
```

=====

No. 2
## Pm3GePt3 (GGA-PBE)

Data for a relaxed structure of Pm3GePt3.

Output
Energy above the most stable polymorph in this dataset ... 1.81 eV/f.u.
Energy of formation from the pure elements ... -823 meV/atom

```
data_Pm3GePt3
_cell_length_a 8.7104
_cell_length_b 8.7104
_cell_length_c 5.8341
_cell_angle_alpha 90.00
_cell_angle_beta 90.00
_cell_angle_gamma 120.00
_symmetry_space_group_name_H-M 'P 63/m'
_symmetry_Int_Tables_number 176
_symmetry_space_group_name_Hall '-P 6c'
loop_
_atom_site_label
_atom_site_fract_x
_atom_site_fract_y
_atom_site_fract_z
Pm1 0.0417 0.6951 0.2500
Ge1 0.3333 0.6667 0.7500
Pt1 0.0503 0.6791 0.7500
```

=====

No. 3
## HoAgSnBr6 (GGA-PBE)

Data for a relaxed structure of HoAgSnBr6.

Output
Formation energy (no corrections) ... -109.2 kJ per mole of atoms

```
data_HoAgSnBr6
_cell_length_a 7.1958
_cell_length_b 7.1958
_cell_length_c 13.2577
_cell_angle_alpha 90.00
_cell_angle_beta 90.00
_cell_angle_gamma 120.00
_symmetry_space_group_name_H-M 'P -3 1 c'
_symmetry_Int_Tables_number 163
_symmetry_space_group_name_Hall '-P 3 2c'
loop_
_atom_site_label
_atom_site_fract_x
_atom_site_fract_y
_atom_site_fract_z
Ho1 0.3333 0.6667 0.2500
Ag1 0.3333 0.6667 0.7500
Sn1 0.0000 0.0000 0.0000
Br1 0.0097 0.3521 0.1280
```

=====

No. 4
## Ba2Dy2Mg15 (GGA-PBE)

Data for a relaxed structure of Ba2Dy2Mg15.

Output
Energy of formation from the pure elements ... -36 meV/atom

```
data_Ba2Dy2Mg15
_cell_length_a 10.8100
_cell_length_b 10.8100
_cell_length_c 15.8001
_cell_angle_alpha 90.00
_cell_angle_beta 90.00
_cell_angle_gamma 120.00
_symmetry_space_group_name_H-M 'R -3 m'
_symmetry_Int_Tables_number 166
_symmetry_space_group_name_Hall '-R 3 2"'
loop_
_atom_site_label
_atom_site_fract_x
_atom_site_fract_y
_atom_site_fract_z
Ba1 0.0000 0.0000 0.1609
Dy1 0.0000 0.0000 0.4027
Mg1 0.0000 0.2881 0.5000
Mg2 0.0000 0.5000 0.0000
Mg3 0.0008 0.5004 0.6493
```

=====

No. 5
## HfMg2C4 (GGA-PBE)

Data for a relaxed structure of HfMg2C4.

Output
Energy of formation from the pure elements ... 1526 meV/atom

```
data_HfMg2C4
_cell_length_a 4.2643
_cell_length_b 4.2643
_cell_length_c 11.5657
_cell_angle_alpha 90.00
_cell_angle_beta 90.00
_cell_angle_gamma 90.00
_symmetry_space_group_name_H-M 'I 4/m m m'
_symmetry_Int_Tables_number 139
_symmetry_space_group_name_Hall '-I 4 2'
loop_
_atom_site_label
_atom_site_fract_x
_atom_site_fract_y
_atom_site_fract_z
Hf1 0.0000 0.0000 0.0000
Mg1 0.0000 0.0000 0.3757
C1 0.0000 0.0000 0.1893
C2 0.0000 0.5000 0.0000
```

=====

No. 6
## TmNi7Ge2 (GGA-PBE)

Data for a relaxed structure of TmNi7Ge2.

Output
Energy of formation from the pure elements ... 74 meV/atom

```
data_TmNi7Ge2
_cell_length_a 6.5672
_cell_length_b 11.4045
_cell_length_c 4.2832
_cell_angle_alpha 90.00
_cell_angle_beta 90.00
_cell_angle_gamma 90.00
_symmetry_space_group_name_H-M 'C m m m'
_symmetry_Int_Tables_number 65
_symmetry_space_group_name_Hall '-C 2 2'
loop_
_atom_site_label
_atom_site_fract_x
_atom_site_fract_y
_atom_site_fract_z
Tm1 0.0000 0.0000 0.0000
Ni1 0.0000 0.2270 0.0000
Ni2 0.0000 0.5000 0.5000
Ni3 0.1831 0.1145 0.5000
Ge1 0.0000 0.2990 0.5000
```

=====

No. 7
## ReAuSe2 (GGA-PBE)

Data for a relaxed structure of ReAuSe2.

Output
Energy above the most stable polymorph in this dataset ... 2.81 eV/f.u.
Formation energy (no corrections) ... 78.6 kJ per mole of atoms

```
data_ReAuSe2
_cell_length_a 6.2971
_cell_length_b 6.8740
_cell_length_c 3.2147
_cell_angle_alpha 90.00
_cell_angle_beta 90.00
_cell_angle_gamma 90.00
_symmetry_space_group_name_H-M 'C m m m'
_symmetry_Int_Tables_number 65
_symmetry_space_group_name_Hall '-C 2 2'
loop_
_atom_site_label
_atom_site_fract_x
_atom_site_fract_y
_atom_site_fract_z
Re1 0.0000 0.0000 0.0000
Au1 0.0000 0.5000 0.0000
Se1 0.2500 0.2500 0.5000
```

=====

No. 8
## LiMgIn3Sn (GGA-PBE)

Data for a relaxed structure of LiMgIn3Sn.

Output
Energy of formation from the pure elements ... -106 meV/atom

```
data_LiMgIn3Sn
_cell_length_a 7.1326
_cell_length_b 4.6035
_cell_length_c 9.2576
_cell_angle_alpha 90.00
_cell_angle_beta 108.47
_cell_angle_gamma 90.00
_symmetry_space_group_name_H-M 'P 1 21/m 1'
_symmetry_Int_Tables_number 11
loop_
_symmetry_equiv_pos_as_xyz
'x,y,z'
'-x,-y,-z'
'-x,y+1/2,-z'
'x,-y+1/2,z'
loop_
_atom_site_label
_atom_site_fract_x
_atom_site_fract_y
_atom_site_fract_z
Li1 0.0128 0.2500 0.1284
Mg1 0.3223 0.7500 0.7100
In1 0.3134 0.2500 0.9544
In2 0.3334 0.7500 0.1880
In3 0.3355 0.2500 0.4571
Sn1 0.0095 0.7500 0.3630
```

=====

No. 9
## Sb3TePb (GGA-PBE)

Data for a relaxed structure of Sb3TePb.

Output
Energy above the most stable polymorph in this dataset ... 0.00 eV/f.u.
Formation energy (no corrections) ... 65.7 kJ per mole of atoms

```
data_Sb3TePb
_cell_length_a 5.7257
_cell_length_b 5.7257
_cell_length_c 5.7257
_cell_angle_alpha 90.00
_cell_angle_beta 90.00
_cell_angle_gamma 90.00
_symmetry_space_group_name_H-M 'P m -3 m'
_symmetry_Int_Tables_number 221
_symmetry_space_group_name_Hall '-P 4 2 3'
loop_
_atom_site_label
_atom_site_fract_x
_atom_site_fract_y
_atom_site_fract_z
Sb1 0.0000 0.0000 0.5000
Te1 0.0000 0.0000 0.0000
Pb1 0.5000 0.5000 0.5000
```

=====

No. 10
## Cs3ScU2Te6 (GGA-PBE)

Data for a relaxed structure of Cs3ScU2Te6.

Output
Formation energy (no corrections) ... -92.6 kJ per mole of atoms

```
data_Cs3ScU2Te6
_cell_length_a 7.7952
_cell_length_b 13.5033
_cell_length_c 9.3190
_cell_angle_alpha 90.00
_cell_angle_beta 106.19
_cell_angle_gamma 90.00
_symmetry_space_group_name_H-M 'C 1 2/m 1'
_symmetry_Int_Tables_number 12
loop_
_symmetry_equiv_pos_as_xyz
'x,y,z'
'-x,-y,-z'
'-x,y,-z'
'x,-y,z'
'x+1/2,y+1/2,z'
'-x+1/2,-y+1/2,-z'
'-x+1/2,y+1/2,-z'
'x+1/2,-y+1/2,z'
loop_
_atom_site_label
_atom_site_fract_x
_atom_site_fract_y
_atom_site_fract_z
Cs1 0.0000 0.0000 0.0000
Cs2 0.0000 0.3303 0.0000
Sc1 0.0000 0.5000 0.5000
U1 0.0000 0.1663 0.5000
Te1 0.2233 0.3394 0.6881
Te2 0.2420 0.0000 0.6894
```

=====

No. 11
## CaErZnN2 (GGA-PBE)

Data for a relaxed structure of CaErZnN2.

Output
Formation energy (no corrections) ... -59.7 kJ per mole of atoms

```
data_CaErZnN2
_cell_length_a 5.2589
_cell_length_b 5.3116
_cell_length_c 6.4284
_cell_angle_alpha 90.00
_cell_angle_beta 90.03
_cell_angle_gamma 90.00
_symmetry_space_group_name_H-M 'P 1 2/c 1'
_symmetry_Int_Tables_number 13
loop_
_symmetry_equiv_pos_as_xyz
'x,y,z'
'-x,-y,-z'
'-x,y,-z+1/2'
'x,-y,z+1/2'
loop_
_atom_site_label
_atom_site_fract_x
_atom_site_fract_y
_atom_site_fract_z
Ca1 0.0000 0.0011 0.2500
Er1 0.5000 0.5003 0.2500
Zn1 0.5000 0.0000 0.0000
N1 0.2730 0.2714 0.0002
```

=====

No. 12
## ZnNiHg2 (GGA-PBE)

Data for a relaxed structure of ZnNiHg2.

Output
Energy of formation from the pure elements ... 179 meV/atom

```
data_ZnNiHg2
_cell_length_a 3.0625
_cell_length_b 3.0625
_cell_length_c 27.8233
_cell_angle_alpha 90.00
_cell_angle_beta 90.00
_cell_angle_gamma 120.00
_symmetry_space_group_name_H-M 'R 3 m'
_symmetry_Int_Tables_number 160
_symmetry_space_group_name_Hall 'R 3 -2"'
loop_
_atom_site_label
_atom_site_fract_x
_atom_site_fract_y
_atom_site_fract_z
Zn1 0.0000 0.0000 0.0000
Ni1 0.0000 0.0000 0.7273
Hg1 0.0000 0.0000 0.2422
Hg2 0.0000 0.0000 0.4690
```

=====

Mass density list, top to bottom, in g cm⁻³: 10.53 9.47 4.87 3.00 4.34 7.51 12.91 5.70 6.19 5.94 5.56 11.58